[1]
Sr4AlAs, optimized geometry, DFT PBE; total magnetic moment = 0.0 μB per formula unit; space-group type = F-43m; ΔE_f = 0.48 eV/atom
1.0
0.000 4.832 4.832
4.832 0.000 4.832
4.832 4.832 0.000
Sr Al As
4 1 1
direct
0.125 0.125 0.125
0.125 0.125 0.624
0.125 0.624 0.125
0.624 0.125 0.125
0.750 0.750 0.750
0.500 0.500 0.500

[2]
PrNbRu, optimized geometry, DFT PBE; total magnetic moment = 0.0 μB per formula unit; space-group type = P4/nmm; ΔE_f = -0.17 eV/atom
1.0
4.550 0.000 0.000
0.000 4.550 0.000
0.000 0.000 6.737
Pr Nb Ru
2 2 2
direct
0.250 0.250 0.140
0.750 0.750 0.860
0.250 0.750 0.500
0.750 0.250 0.500
0.250 0.250 0.686
0.750 0.750 0.314

[3]
RbNa2HoBr6, optimized geometry, DFT PBE; total magnetic moment = 0.0 μB per formula unit; space-group type = R3; raw formation energy = -17.27 eV/f.u.
1.0
3.826 2.209 6.993
-3.826 2.209 6.993
0.000 -4.418 6.993
Rb Na Ho Br
1 2 1 6
direct
0.000 0.000 0.000
0.285 0.285 0.285
0.801 0.801 0.801
0.478 0.478 0.478
0.084 0.640 0.453
0.233 0.553 0.859
0.453 0.084 0.640
0.553 0.859 0.233
0.640 0.453 0.084
0.859 0.233 0.553

[4]
LiZn2Ni2, optimized geometry, DFT PBE; total magnetic moment = 0.0 μB per formula unit; space-group type = I4/mmm; ΔE_f = 0.08 eV/atom
1.0
-1.898 1.898 5.235
1.898 -1.898 5.235
1.898 1.898 -5.235
Li Zn Ni
1 2 2
direct
0.000 0.000 0.000
0.250 0.750 0.500
0.750 0.250 0.500
0.393 0.393 0.000
0.607 0.607 0.000

[5]
Y2AlP, optimized geometry, DFT PBE; total magnetic moment = 0.0 μB per formula unit; space-group type = F-43m; ΔE_f = 0.04 eV/atom
1.0
0.000 3.527 3.527
3.527 0.000 3.527
3.527 3.527 0.000
Y Al P
2 1 1
direct
0.000 0.000 0.000
0.250 0.250 0.250
0.750 0.750 0.750
0.500 0.500 0.500

[6]
SbPtPb2, optimized geometry, DFT PBE; total magnetic moment = 0.0 μB per formula unit; space-group type = Imm2; raw formation energy = -0.28 eV/f.u.
1.0
-1.773 2.574 5.840
1.773 -2.574 5.840
1.773 2.574 -5.840
Sb Pt Pb
1 1 2
direct
0.000 0.000 0.000
0.824 0.324 0.500
0.313 0.813 0.500
0.619 0.619 0.000

[7]
Pr2HoErO6, optimized geometry, DFT PBE; total magnetic moment = 0.0 μB per formula unit; space-group type = R3; raw formation energy = -34.32 eV/f.u.
1.0
2.981 1.721 5.074
-2.981 1.721 5.074
0.000 -3.442 5.074
Pr Ho Er O
2 1 1 6
direct
0.000 0.000 0.000
0.500 0.500 0.500
0.223 0.223 0.223
0.722 0.722 0.722
0.088 0.426 0.848
0.349 0.925 0.589
0.426 0.848 0.088
0.589 0.349 0.925
0.848 0.088 0.426
0.925 0.589 0.349

[8]
CaMg2Pb, optimized geometry, DFT PBE; total magnetic moment = 0.0 μB per formula unit; space-group type = C2/m; ΔE_f = -0.17 eV/atom
1.0
5.834 -1.780 0.000
5.834 1.780 0.000
-1.444 0.000 5.326
Ca Mg Pb
1 2 1
direct
0.000 0.000 0.000
0.239 0.239 0.740
0.761 0.761 0.260
0.500 0.500 0.500

no.,raw total energy (eV for the cell shown)
1,-12.2
2,-49.3
3,-35.5
4,-15.6
5,-21.9
6,-17.9
7,-82.8
8,-9.6